No. 1
# U6PaP8

A geometry-optimized U6PaP8 structure (PBE, Alexandria).

Unit cell a=7.109 b=7.109 c=7.109 alpha=71.59 beta=71.59 gamma=71.59
Sites, in units of the cell vectors:
U (0.532, 0.340, 0.938)
U (0.340, 0.938, 0.532)
U (0.938, 0.532, 0.340)
U (0.468, 0.660, 0.062)
U (0.660, 0.062, 0.468)
U (0.062, 0.468, 0.660)
Pa (0.000, 0.000, 0.000)
P (0.667, 0.667, 0.667)
P (0.333, 0.333, 0.333)
P (0.636, 0.890, 0.177)
P (0.890, 0.177, 0.636)
P (0.177, 0.636, 0.890)
P (0.364, 0.110, 0.823)
P (0.110, 0.823, 0.364)
P (0.823, 0.364, 0.110)

## Properties
* calculated volume: 313.99 Å³/cell
* formation energy from the elements: -0.82 eV per atom

***

No. 2
# UPaP2

A geometry-optimized UPaP2 structure (PBE, Alexandria).

Unit cell a=3.394 b=3.394 c=6.826 alpha=90.00 beta=90.00 gamma=90.00
Last column: magnetic moment on the atom in μB.
Sites, in units of the cell vectors:
P (0.000, 0.000, 0.749)  -0.06
P (0.000, 0.000, 0.251)  -0.06
Pa (0.500, 0.500, 0.500)  0.59
U (0.500, 0.500, 0.000)  2.48

## Properties
* calculated volume: 78.64 Å³/cell
* formation energy from the elements: -0.85 eV per atom

***

No. 3
# UPa2P

A geometry-optimized UPa2P structure (PBE, Alexandria).

Unit cell a=3.252 b=3.252 c=10.007 alpha=80.65 beta=80.65 gamma=60.00
Last column: magnetic moment on the atom in μB.
Sites, in units of the cell vectors:
P (0.500, 0.500, 0.500)  -0.01
Pa (0.099, 0.099, 0.702)  0.02
Pa (0.901, 0.901, 0.298)  0.02
U (0.000, 0.000, 0.000)  1.36

## Properties
* calculated volume: 90.01 Å³/cell
* formation energy from the elements: 0.02 eV per atom

***

The highest calculated volume belongs to which entry? U6PaP8

***

Please write out number 3 again, unchanged.
# UPa2P

A geometry-optimized UPa2P structure (PBE, Alexandria).

Unit cell a=3.252 b=3.252 c=10.007 alpha=80.65 beta=80.65 gamma=60.00
Last column: magnetic moment on the atom in μB.
Sites, in units of the cell vectors:
P (0.500, 0.500, 0.500)  -0.01
Pa (0.099, 0.099, 0.702)  0.02
Pa (0.901, 0.901, 0.298)  0.02
U (0.000, 0.000, 0.000)  1.36

## Properties
* calculated volume: 90.01 Å³/cell
* formation energy from the elements: 0.02 eV per atom